LiCaTl3: optimized geometry, PBE.

Unit cell a=4.6311 b=7.6321 c=7.7104 alpha=102.25 beta=90.00 gamma=90.00
Closest atoms and distances in Å follow each position.
Sites, in units of the cell vectors:
Li: 0.9765 0.6988 0.2741  7 Tl 2.78-2.99
Li: 0.4765 0.2027 0.3732  7 Tl 2.78-2.99
Ca: 0.4752 0.7603 0.6277  6 Tl 3.32-3.42, 2 Li 3.53-3.54
Ca: 0.9753 0.1412 0.0195  6 Tl 3.32-3.42, 2 Li 3.53-3.54
Tl: 0.4753 0.2817 0.7513  1 Li 2.85
Tl: 0.4756 0.8747 0.1343  3 Li 2.78-2.99
Tl: 0.9754 0.4339 0.4811  3 Li 2.83-2.93, 1 Tl 3.17
Tl: 0.9753 0.6198 0.8959  1 Li 2.85
Tl: 0.9756 0.0269 0.5129  3 Li 2.78-2.99
Tl: 0.4754 0.4677 0.1661  3 Li 2.83-2.93, 1 Tl 3.17

## Properties
D(E_F)   3.91 states/eV/cell
Symmetry   P2_1 (4)
Calculated total energy   -2.431 eV per atom
Formation energy from the elements   -229 meV per atom